(1)
Compound: NaMgTlIn
Source: Alexandria
Functional: PBE-GGA
Structure: optimized geometry

Cell lengths 3.3491, 3.3491, 9.1768 Å; angles 90.00, 90.00, 90.00 degrees
Closest atoms and distances in Å follow each position.
Positions (direct):
1 Na 0.0000 0.0000 0.0745  4 Na 3.35, 4 In 3.38, 4 Tl 3.42
2 Mg 0.0000 0.0000 0.5665  4 In 3.16, 4 Tl 3.23, 4 Mg 3.35
3 Tl 0.5000 0.5000 0.8059  4 Mg 3.23, 4 Tl 3.35, 4 Na 3.42
4 In 0.5000 0.5000 0.3378  4 Mg 3.16, 4 In 3.35, 4 Na 3.38

For the formation energy, the calculation gives -0.107 eV/atom.

---

(2)
Compound: NaMgTl2In
Source: Alexandria
Functional: PBE-GGA
Structure: optimized geometry

Cell lengths 6.2803, 6.1639, 8.3295 Å; angles 111.72, 90.00, 90.00 degrees
Closest atoms and distances in Å follow each position.
Positions (direct):
1 Na 0.2500 0.8437 0.6873  1 Mg 3.03, 4 Tl 3.27, 2 In 3.34
2 Na 0.7500 0.1563 0.3127  1 Mg 3.03, 4 Tl 3.27, 2 In 3.34
3 Mg 0.2500 0.6476 0.2953  1 Na 3.03, 4 Tl 3.18, 2 In 3.34
4 Mg 0.7500 0.3524 0.7047  1 Na 3.03, 4 Tl 3.18, 2 In 3.34
5 Tl 0.5000 0.2482 0.0000  4 Tl 3.06-3.14, 2 Mg 3.18, 2 Na 3.27
6 Tl 0.0000 0.7518 0.0000  4 Tl 3.06-3.14, 2 Mg 3.18, 2 Na 3.27
7 Tl 0.5000 0.7518 0.0000  4 Tl 3.06-3.14, 2 Mg 3.18, 2 Na 3.27
8 Tl 0.0000 0.2482 0.0000  4 Tl 3.06-3.14, 2 Mg 3.18, 2 Na 3.27
9 In 0.7500 0.7693 0.5386  4 Mg 3.34-3.66, 4 Na 3.34-3.54
10 In 0.2500 0.2307 0.4614  4 Mg 3.34-3.66, 4 Na 3.34-3.54

For the formation energy, the calculation gives 0.106 eV/atom.

---

(3)
Compound: Na2MgTl5In
Source: Alexandria
Functional: PBE-GGA
Structure: optimized geometry

Cell lengths 5.0709, 9.1436, 11.9081 Å; angles 90.00, 90.00, 106.10 degrees
Closest atoms and distances in Å follow each position.
Positions (direct):
1 Na 0.9340 0.8681 0.8157  9 Tl 3.14-3.44
2 Na 0.1486 0.2972 0.7181  4 Tl 3.21-3.47
3 Na 0.0660 0.1319 0.3157  9 Tl 3.14-3.44
4 Na 0.8514 0.7028 0.2181  4 Tl 3.21-3.47
5 Mg 0.8047 0.6094 0.5410  6 Tl 3.15-3.41, 2 In 3.37
6 Mg 0.1953 0.3906 0.0410  6 Tl 3.15-3.41, 2 In 3.37
7 Tl 0.3707 0.7414 0.9809  1 Mg 3.16, 4 Tl 3.31-3.49, 2 Na 3.40
8 Tl 0.7569 0.5138 0.8720  1 In 3.10, 1 Na 3.18, 2 Mg 3.41
9 Tl 0.5199 0.0398 0.7071  1 In 3.06, 4 Tl 3.19-3.33, 4 Na 3.22-3.40
10 Tl 0.3307 0.6615 0.6936  2 Mg 3.15, 3 Na 3.21-3.44, 1 In 3.30, 2 Tl 3.33-3.49
11 Tl 0.9865 0.9730 0.5520  2 In 3.13, 3 Na 3.14-3.47, 2 Tl 3.19, 1 Mg 3.20
12 Tl 0.6293 0.2586 0.4809  1 Mg 3.16, 4 Tl 3.31-3.49, 2 Na 3.40
13 Tl 0.2431 0.4862 0.3720  1 In 3.10, 1 Na 3.18, 2 Mg 3.41
14 Tl 0.4801 0.9602 0.2071  1 In 3.06, 4 Tl 3.19-3.33, 4 Na 3.22-3.40
15 Tl 0.6693 0.3385 0.1936  2 Mg 3.15, 3 Na 3.21-3.44, 1 In 3.30, 2 Tl 3.33-3.49
16 Tl 0.0135 0.0270 0.0520  2 In 3.13, 3 Na 3.14-3.47, 2 Tl 3.19, 1 Mg 3.20
17 In 0.5875 0.1749 0.9437  5 Tl 3.06-3.30, 2 Mg 3.37
18 In 0.4125 0.8251 0.4437  5 Tl 3.06-3.30, 2 Mg 3.37

For the formation energy, the calculation gives -0.022 eV/atom.

---

(4)
Compound: NaMgZnIn
Source: Alexandria
Functional: PBE-GGA
Structure: optimized geometry

Cell lengths 5.0241, 5.0241, 5.0241 Å; angles 60.00, 60.00, 60.00 degrees
Closest atoms and distances in Å follow each position.
Positions (direct):
1 Na 0.5000 0.5000 0.5000  4 Zn 3.08, 4 In 3.08
2 Zn 0.2500 0.2500 0.2500  4 Mg 3.08, 4 Na 3.08
3 Mg 0.0000 0.0000 0.0000  4 In 3.08, 4 Zn 3.08
4 In 0.7500 0.7500 0.7500  4 Na 3.08, 4 Mg 3.08

For the formation energy, the calculation gives 0.000 eV/atom.